No. 1
Computed, not measured: an optimized crystal structure of Tb2YScTl2 at the PBE-GGA level of DFT.

Computed properties:
space-group type	No. 26
volume	27.95	A^3/atom
D(E_F)	1.181	states/eV/atom
calculated total energy	-4.738	eV per atom
energy of formation from the pure elements	-273	meV/atom

a = 4.945 Å, b = 6.928 Å, c = 9.792 Å
α = 90.00°, β = 90.00°, γ = 90.00°
Atoms (fractional coordinates):
Tl1 0.500 0.229 0.383
Tl2 0.500 0.729 0.617
Tl3 0.000 0.795 0.138
Tl4 0.000 0.295 0.862
Y1 0.000 0.955 0.451
Y2 0.000 0.455 0.549
Sc1 0.500 0.165 0.694
Sc2 0.500 0.665 0.306
Tb1 0.500 0.557 0.950
Tb2 0.000 0.845 0.810
Tb3 0.500 0.057 0.050
Tb4 0.000 0.345 0.190



No. 2
Computed, not measured: an optimized crystal structure of TbY2ScTl4 at the PBE-GGA level of DFT.

Computed properties:
space-group type	No. 166
volume	26.55	A^3/atom
D(E_F)	0.849	states/eV/atom
calculated total energy	-4.499	eV per atom
energy of formation from the pure elements	-330	meV/atom

a = 5.308 Å, b = 5.308 Å, c = 9.229 Å
α = 73.29°, β = 73.29°, γ = 60.00°
Atoms (fractional coordinates):
Y1 0.249 0.249 0.254
Y2 0.751 0.751 0.746
Tl1 0.377 0.377 0.870
Tl2 0.873 0.873 0.380
Tl3 0.623 0.623 0.130
Tl4 0.127 0.127 0.620
Sc1 0.500 0.500 0.500
Tb1 0.000 0.000 0.000